[1]
# NaAcC3N6

NaAcC3N6 after structural relaxation (PBE, Alexandria via LeMat-Bulk).

```
data_NaAcC3N6
_symmetry_space_group_name_H-M 'P 1'
_symmetry_Int_Tables_number 1
_cell_length_a 6.2605
_cell_length_b 6.2605
_cell_length_c 6.2605
_cell_angle_alpha 74.15
_cell_angle_beta 105.85
_cell_angle_gamma 74.15
loop_
_symmetry_equiv_pos_as_xyz
'x,y,z'
loop_
_atom_site_label
_atom_site_type_symbol
_atom_site_fract_x
_atom_site_fract_y
_atom_site_fract_z
Na1 Na 0.0522 0.9478 0.0522
Ac1 Ac 0.5518 0.4482 0.5518
C1 C 0.5518 0.9476 0.0513
C2 C 0.0513 0.4482 0.0524
C3 C 0.0524 0.9487 0.5518
N1 N 0.1965 0.4882 0.1974
N2 N 0.5118 0.8026 0.1965
N3 N 0.9073 0.0940 0.5919
N4 N 0.9060 0.4081 0.9073
N5 N 0.5919 0.0927 0.9060
N6 N 0.1974 0.8035 0.5118
```

Its space-group type is No. 155. The calculation puts the uncorrected formation energy at -0.166 eV/atom.

=====

[2]
# PmGa2Bi

PmGa2Bi after structural relaxation (PBE, Alexandria via LeMat-Bulk).

```
data_PmGa2Bi
_symmetry_space_group_name_H-M 'P 1'
_symmetry_Int_Tables_number 1
_cell_length_a 4.8935
_cell_length_b 4.8935
_cell_length_c 5.7299
_cell_angle_alpha 64.72
_cell_angle_beta 64.72
_cell_angle_gamma 60.00
loop_
_symmetry_equiv_pos_as_xyz
'x,y,z'
loop_
_atom_site_label
_atom_site_type_symbol
_atom_site_fract_x
_atom_site_fract_y
_atom_site_fract_z
Bi1 Bi 0.0000 0.0000 0.0000
Ga1 Ga 0.2692 0.2692 0.1923
Ga2 Ga 0.7308 0.7308 0.8077
Pm1 Pm 0.5000 0.5000 0.5000
```

Its space-group type is No. 166.

=====

[3]
# InReP3

InReP3 after structural relaxation (PBE, Alexandria via LeMat-Bulk).

```
data_InReP3
_symmetry_space_group_name_H-M 'P 1'
_symmetry_Int_Tables_number 1
_cell_length_a 4.7029
_cell_length_b 4.7029
_cell_length_c 4.7029
_cell_angle_alpha 90.00
_cell_angle_beta 90.00
_cell_angle_gamma 90.00
loop_
_symmetry_equiv_pos_as_xyz
'x,y,z'
loop_
_atom_site_label
_atom_site_type_symbol
_atom_site_fract_x
_atom_site_fract_y
_atom_site_fract_z
Re1 Re 0.0000 0.0000 0.0000
P1 P 0.0000 0.5000 0.0000
P2 P 0.0000 0.0000 0.5000
P3 P 0.5000 0.0000 0.0000
In1 In 0.5000 0.5000 0.5000
```

Its space-group type is No. 221.

=====

[4]
# AlIr2Cl

AlIr2Cl after structural relaxation (PBE, Alexandria via LeMat-Bulk).

```
data_AlIr2Cl
_symmetry_space_group_name_H-M 'P 1'
_symmetry_Int_Tables_number 1
_cell_length_a 4.4600
_cell_length_b 4.4600
_cell_length_c 4.4600
_cell_angle_alpha 60.00
_cell_angle_beta 60.00
_cell_angle_gamma 60.00
loop_
_symmetry_equiv_pos_as_xyz
'x,y,z'
loop_
_atom_site_label
_atom_site_type_symbol
_atom_site_fract_x
_atom_site_fract_y
_atom_site_fract_z
Ir1 Ir 0.0000 0.0000 0.0000
Ir2 Ir 0.2500 0.2500 0.2500
Al1 Al 0.5000 0.5000 0.5000
Cl1 Cl 0.7500 0.7500 0.7500
```

Its space-group type is No. 216. The calculation puts the uncorrected formation energy at 0.548 eV/atom.

=====

[5]
# Sc2PaO

Sc2PaO after structural relaxation (PBE, Alexandria via LeMat-Bulk).

```
data_Sc2PaO
_symmetry_space_group_name_H-M 'P 1'
_symmetry_Int_Tables_number 1
_cell_length_a 3.1162
_cell_length_b 3.1162
_cell_length_c 8.8539
_cell_angle_alpha 79.86
_cell_angle_beta 79.86
_cell_angle_gamma 60.00
loop_
_symmetry_equiv_pos_as_xyz
'x,y,z'
loop_
_atom_site_label
_atom_site_type_symbol
_atom_site_fract_x
_atom_site_fract_y
_atom_site_fract_z
Sc1 Sc 0.1172 0.1172 0.6483
Sc2 Sc 0.8828 0.8828 0.3517
Pa1 Pa 0.0000 0.0000 0.0000
O1 O 0.5000 0.5000 0.5000
```

Its space-group type is No. 166. The calculation puts the uncorrected formation energy at -1.264 eV/atom.

=====

[6]
# NaCa3Co

NaCa3Co after structural relaxation (PBE, Alexandria via LeMat-Bulk).

```
data_NaCa3Co
_symmetry_space_group_name_H-M 'P 1'
_symmetry_Int_Tables_number 1
_cell_length_a 5.6390
_cell_length_b 5.6390
_cell_length_c 5.6390
_cell_angle_alpha 90.00
_cell_angle_beta 90.00
_cell_angle_gamma 90.00
loop_
_symmetry_equiv_pos_as_xyz
'x,y,z'
loop_
_atom_site_label
_atom_site_type_symbol
_atom_site_fract_x
_atom_site_fract_y
_atom_site_fract_z
Na1 Na 0.0000 0.0000 0.0000
Ca1 Ca 0.0000 0.5000 0.0000
Ca2 Ca 0.0000 0.0000 0.5000
Ca3 Ca 0.5000 0.0000 0.0000
Co1 Co 0.5000 0.5000 0.5000
```

Its space-group type is No. 221.

=====

[7]
# ScTlCl2

ScTlCl2 after structural relaxation (PBE, Alexandria via LeMat-Bulk).

```
data_ScTlCl2
_symmetry_space_group_name_H-M 'P 1'
_symmetry_Int_Tables_number 1
_cell_length_a 3.4540
_cell_length_b 6.2296
_cell_length_c 6.2295
_cell_angle_alpha 62.43
_cell_angle_beta 90.00
_cell_angle_gamma 90.00
loop_
_symmetry_equiv_pos_as_xyz
'x,y,z'
loop_
_atom_site_label
_atom_site_type_symbol
_atom_site_fract_x
_atom_site_fract_y
_atom_site_fract_z
Sc1 Sc 0.5000 0.2500 0.2500
Tl1 Tl 0.5000 0.7500 0.7500
Cl1 Cl 0.0000 0.0801 0.0801
Cl2 Cl 0.0000 0.4199 0.4199
```

Its space-group type is No. 65. The calculation puts the uncorrected formation energy at -1.204 eV/atom.

=====

[8]
# HoCu6Ge2

HoCu6Ge2 after structural relaxation (PBE, Alexandria via LeMat-Bulk).

```
data_HoCu6Ge2
_symmetry_space_group_name_H-M 'P 1'
_symmetry_Int_Tables_number 1
_cell_length_a 4.0680
_cell_length_b 4.0680
_cell_length_c 8.0622
_cell_angle_alpha 90.00
_cell_angle_beta 90.00
_cell_angle_gamma 90.00
loop_
_symmetry_equiv_pos_as_xyz
'x,y,z'
loop_
_atom_site_label
_atom_site_type_symbol
_atom_site_fract_x
_atom_site_fract_y
_atom_site_fract_z
Ho1 Ho 0.0000 0.0000 0.0000
Cu1 Cu 0.0000 0.5000 0.3152
Cu2 Cu 0.5000 0.0000 0.3152
Cu3 Cu 0.0000 0.5000 0.6848
Cu4 Cu 0.5000 0.0000 0.6848
Cu5 Cu 0.5000 0.5000 0.5000
Cu6 Cu 0.0000 0.0000 0.5000
Ge1 Ge 0.5000 0.5000 0.1532
Ge2 Ge 0.5000 0.5000 0.8468
```

Its space-group type is No. 123.

=====

The evaluated N(E_F) for the records listed, in turn: 5.50 1.68 3.83 5.13 4.51 11.03 1.88 4.52 states/eV/f.u..
The evaluated calculated total energy for the records listed, in turn: -84.88 -15.70 -28.96 -21.12 -32.17 -8.55 -17.21 -40.38 eV/cell.